First-principles (PBE) data for PrAl6S8 after structural relaxation, as listed in the Alexandria database. Values from VASP.

Computed properties:
crystal system: trigonal
formation energy from raw total energies: -0.859 eV/atom
space group: R-3, No. 148

```
&SYSTEM
  ibrav = 0, nat = 15, ntyp = 3
/
ATOMIC_SPECIES
S 32.06 S.upf
Al 26.98 Al.upf
Pr 140.91 Pr.upf
CELL_PARAMETERS angstrom
-0.220 6.708 -0.300
-1.498 -0.174 6.547
6.628 -0.152 1.084
ATOMIC_POSITIONS angstrom
S 1.344 0.378 5.524
S 3.597 4.673 5.370
S -0.179 5.181 2.363
S 1.314 1.708 1.962
S 4.987 2.433 1.295
S 5.091 1.200 4.968
S -0.076 3.948 6.037
S 3.568 6.004 1.808
Al 1.410 4.847 4.523
Al 0.674 2.129 4.185
Al 4.237 4.252 3.147
Al 3.501 1.534 2.809
Al 3.175 2.364 5.501
Al 1.736 4.017 1.830
Pr 0.000 0.000 0.000
```

First-principles (PBE) data for Pr5AlS4 after structural relaxation, as listed in the Alexandria database. Values from VASP.

Computed properties:
crystal system: tetragonal
formation energy from raw total energies: -1.655 eV/atom
space group: I4/m, No. 87

```
&SYSTEM
  ibrav = 0, nat = 10, ntyp = 3
/
ATOMIC_SPECIES
S 32.06 S.upf
Al 26.98 Al.upf
Pr 140.91 Pr.upf
CELL_PARAMETERS angstrom
5.295 0.000 2.554
2.647 6.614 1.277
-0.226 0.000 7.234
ATOMIC_POSITIONS angstrom
S 2.997 2.668 7.331
S 4.730 3.946 3.738
S 1.494 1.312 3.682
S 6.233 5.301 7.387
Al 0.006 0.000 0.003
Pr 5.663 2.701 8.568
Pr 2.063 3.912 2.501
Pr 4.126 1.357 4.989
Pr 2.654 0.000 1.280
Pr 3.600 5.257 6.080
```